Below is a relaxed Ce2PuU crystal, with properties calculated at the PBE-GGA level.

Lattice parameters (Å, degrees): 4.4024 4.4024 4.8695 90.00 90.00 90.00
Last column: nearest neighbours and their distance in Å.
Space group P4/mmm (No. 123)
Asymmetric unit:
Ce: 0.0000 0.5000 0.0000 x2  4 Ce 3.11, 4 U 3.28, 4 Pu 3.28
Pu: 0.0000 0.0000 0.5000 x1  4 U 3.11, 8 Ce 3.28
U: 0.5000 0.5000 0.5000 x1  4 Pu 3.11, 8 Ce 3.28

Calculated values
* total moment: 0.898 μB per atom
* calculated formation energy: 0.203 eV/atom

Below is a relaxed NbTc2NiB crystal, with properties calculated at the PBE-GGA level.

Lattice parameters (Å, degrees): 4.1734 4.1734 3.7907 90.00 90.00 90.00
Last column: nearest neighbours and their distance in Å.
Space group P4/mmm (No. 123)
Asymmetric unit:
Nb: 0.0000 0.0000 0.0000 x1  8 Tc 2.82, 4 Ni 2.95
Tc: 0.0000 0.5000 0.5000 x2  2 B 2.09
Ni: 0.5000 0.5000 0.0000 x1  2 B 1.90
B: 0.5000 0.5000 0.5000 x1  2 Ni 1.90, 4 Tc 2.09

Calculated values
* total moment: 0.000 μB per atom
* calculated formation energy: -0.192 eV/atom

Below is a relaxed Nd8DySc2 crystal, with properties calculated at the PBE-GGA level.

Lattice parameters (Å, degrees): 5.5337 8.4616 15.7018 90.00 90.00 90.00
Last column: nearest neighbours and their distance in Å.
Space group Immm (No. 71)
Asymmetric unit:
Nd: 0.0000 0.0000 0.1600 x4  2 Sc 3.52, 8 Nd 3.52-3.75, 2 Dy 3.74
Nd: 0.0000 0.2025 0.3562 x8  3 Sc 3.38-3.50, 1 Dy 3.38, 6 Nd 3.43-3.75
Nd: 0.0000 0.3012 0.0000 x4  7 Nd 3.36-3.58, 2 Sc 3.58, 2 Dy 3.76
Dy: 0.0000 0.5000 0.5000 x2  12 Nd 3.38-3.76
Sc: 0.0000 0.5000 0.2012 x4  10 Nd 3.38-3.58

Calculated values
* total moment: 0.000 μB per atom
* calculated formation energy: 0.123 eV/atom
* energy above the lowest structure with this stoichiometry: 0.00 eV/f.u.

Repeat the first record exactly.
Below is a relaxed Ce2PuU crystal, with properties calculated at the PBE-GGA level.

Lattice parameters (Å, degrees): 4.4024 4.4024 4.8695 90.00 90.00 90.00
Last column: nearest neighbours and their distance in Å.
Space group P4/mmm (No. 123)
Asymmetric unit:
Ce: 0.0000 0.5000 0.0000 x2  4 Ce 3.11, 4 U 3.28, 4 Pu 3.28
Pu: 0.0000 0.0000 0.5000 x1  4 U 3.11, 8 Ce 3.28
U: 0.5000 0.5000 0.5000 x1  4 Pu 3.11, 8 Ce 3.28

Calculated values
* total moment: 0.898 μB per atom
* calculated formation energy: 0.203 eV/atom

Question: calculated formation energy of number 1 (Ce2PuU)?
Answer: 0.203 eV/atom